(1)
# PBE with a Hubbard U Ba3U2VO9, relaxed
# * spin magnetization: 5.00 μB/f.u.
# * total DFT energy (no corrections): -125.022 eV per cell
data_Ba3U2VO9
_chemical_formula_sum 'Ba3 U2 V1 O9'
_symmetry_space_group_name_H-M 'P -3 m 1'
_symmetry_Int_Tables_number 164
_symmetry_space_group_name_Hall '-P 3 2"'
_cell_length_a 6.0959
_cell_length_b 6.0959
_cell_length_c 7.5208
_cell_angle_alpha 90.00
_cell_angle_beta 90.00
_cell_angle_gamma 120.00
loop_
_atom_site_label
_atom_site_type_symbol
_atom_site_fract_x
_atom_site_fract_y
_atom_site_fract_z
Ba1 Ba 0.0000 0.0000 0.0000
Ba2 Ba 0.3333 0.6667 0.6517
U1 U 0.3333 0.6667 0.1768
V1 V 0.0000 0.0000 0.5000
O1 O 0.0000 0.5000 0.0000
O2 O 0.1673 0.3346 0.3335


(2)
# PBE with a Hubbard U BaU2VO8, relaxed
# * spin magnetization: 3.00 μB/f.u.
# * total DFT energy (no corrections): -210.821 eV per cell
data_BaU2VO8
_chemical_formula_sum 'Ba2 U4 V2 O16'
_symmetry_space_group_name_H-M 'C 1 2/m 1'
_symmetry_Int_Tables_number 12
_cell_length_a 7.5373
_cell_length_b 6.9418
_cell_length_c 7.1400
_cell_angle_alpha 90.00
_cell_angle_beta 91.51
_cell_angle_gamma 90.00
loop_
_symmetry_equiv_pos_as_xyz
'x,y,z'
'-x,-y,-z'
'-x,y,-z'
'x,-y,z'
'x+1/2,y+1/2,z'
'-x+1/2,-y+1/2,-z'
'-x+1/2,y+1/2,-z'
'x+1/2,-y+1/2,z'
loop_
_atom_site_label
_atom_site_type_symbol
_atom_site_fract_x
_atom_site_fract_y
_atom_site_fract_z
Ba1 Ba 0.0000 0.0000 0.0000
U1 U 0.0041 0.5000 0.2611
V1 V 0.0000 0.0000 0.5000
O1 O 0.0030 0.2071 0.7000
O2 O 0.1602 0.5000 0.9852
O3 O 0.1832 0.5000 0.4951


(3)
# PBE with a Hubbard U Ba2UV3O12, relaxed
# * spin magnetization: 1.00 μB/f.u.
# * total DFT energy (no corrections): -417.745 eV per cell
data_Ba2UV3O12
_chemical_formula_sum 'Ba6 U3 V9 O36'
_symmetry_space_group_name_H-M 'R -3 m'
_symmetry_Int_Tables_number 166
_symmetry_space_group_name_Hall '-R 3 2"'
_cell_length_a 7.0638
_cell_length_b 7.0638
_cell_length_c 18.0653
_cell_angle_alpha 90.00
_cell_angle_beta 90.00
_cell_angle_gamma 120.00
loop_
_atom_site_label
_atom_site_type_symbol
_atom_site_fract_x
_atom_site_fract_y
_atom_site_fract_z
Ba1 Ba 0.0000 0.0000 0.1175
U1 U 0.0000 0.0000 0.5000
V1 V 0.0000 0.5000 0.0000
O1 O 0.0351 0.5175 0.1092
O2 O 0.0789 0.5394 0.3427


| no. | volume (Å³/atom) |
| --- | --- |
| 1 | 16.14 |
| 2 | 15.56 |
| 3 | 14.46 |